No. 1
Material: TaNiAg2
Method: DFT, PBE-GGA
State: optimized geometry

The calculation puts the theoretical density at 11.51 Mg/m³. For the distance to the lowest polymorph of the same formula, the calculation gives 216 meV per atom.

It has space group Imm2 (No. 44), with a = 2.904 Å, b = 4.826 Å, c = 9.371 Å, α = 90.00°, β = 90.00° and γ = 90.00°. The inequivalent atoms are Ta at (0.000, 0.000, 0.000), Ni at (0.000, 0.500, 0.289), Ag at (0.000, 0.000, 0.553) and Ag at (0.000, 0.500, 0.780).

***

No. 2
Material: TaNiAg
Method: DFT, PBE-GGA
State: optimized geometry

The calculation puts the theoretical density at 11.12 Mg/m³. For the distance to the lowest polymorph of the same formula, the calculation gives 364 meV per atom.

It has space group F-43m (No. 216), with a = 5.921 Å, b = 5.921 Å, c = 5.921 Å, α = 90.00°, β = 90.00° and γ = 90.00°. The inequivalent atoms are Ta at (0.000, 0.000, 0.000), Ni at (0.250, 0.250, 0.750) and Ag at (0.000, 0.000, 0.500).

***

no.,DOS(E_F) (states/eV/cell)
1,3.4
2,19.6